No. 1
A relaxed structure of RbAgSO4. Source: Alexandria, functional PBE.

As for the crystal system: cubic. As for the total energy: -36.5 eV per formula unit. Its uncorrected formation energy is -8.74 eV per formula unit.

Cell: 8.6578 8.6578 8.6578 Å, 90.00 90.00 90.00°
Space group F-43m (No. 216)
One atom of each set of equivalent atoms:
Rb: 0.0000 0.0000 0.0000 x4
Ag: 0.2500 0.2500 0.2500 x4
S: 0.0000 0.0000 0.5000 x4
O: 0.0993 0.0993 0.4007 x16


No. 2
A relaxed structure of Rb2AgSO4. Source: Alexandria, functional PBE.

As for the crystal system: tetragonal. As for the total energy: -38.7 eV per formula unit. Its uncorrected formation energy is -9.96 eV per formula unit.

Cell: 6.9919 6.9919 7.1671 Å, 90.00 90.00 90.00°
Space group I-4 (No. 82)
One atom of each set of equivalent atoms:
Rb: 0.0000 0.0000 0.0000 x2
Rb: 0.0000 0.5000 0.2500 x2
Ag: 0.0000 0.5000 0.7500 x2
S: 0.0000 0.0000 0.5000 x2
O: 0.1125 0.1339 0.3783 x8


No. 3
A relaxed structure of Rb2AgSO6. Source: Alexandria, functional PBE.

As for the crystal system: trigonal. As for the total energy: -47.0 eV per formula unit. Its uncorrected formation energy is -8.37 eV per formula unit.

Cell: 6.1825 6.1825 5.3623 Å, 90.00 90.00 120.00°
Space group P-3m1 (No. 164)
One atom of each set of equivalent atoms:
Rb: 0.3333 0.6667 0.1939 x2
Ag: 0.0000 0.0000 0.5000 x1
S: 0.0000 0.0000 0.0000 x1
O: 0.1268 0.2537 0.8164 x6


No. 4
A relaxed structure of Rb2AgSbO4. Source: Alexandria, functional PBE.

As for the crystal system: tetragonal. As for the total energy: -38.5 eV per formula unit. Its uncorrected formation energy is -9.75 eV per formula unit.

Cell: 6.5280 6.5280 7.8212 Å, 90.00 90.00 90.00°
Space group I-4 (No. 82)
One atom of each set of equivalent atoms:
Rb: 0.0000 0.0000 0.0000 x2
Rb: 0.0000 0.5000 0.2500 x2
Ag: 0.0000 0.5000 0.7500 x2
Sb: 0.0000 0.0000 0.5000 x2
O: 0.1447 0.1963 0.6376 x8


No. 5
A relaxed structure of RbAgSb2O. Source: Alexandria, functional PBE.

As for the crystal system: tetragonal. As for the total energy: -11.3 eV per formula unit. Its uncorrected formation energy is 5.76 eV per formula unit.

Cell: 6.2478 6.2478 4.1040 Å, 90.00 90.00 90.00°
Space group P4/mmm (No. 123)
One atom of each set of equivalent atoms:
Rb: 0.0000 0.0000 0.0000 x1
Ag: 0.5000 0.5000 0.5000 x1
Sb: 0.0000 0.5000 0.0000 x2
O: 0.0000 0.0000 0.5000 x1


No. 6
A relaxed structure of RbAg3Se4O12. Source: Alexandria, functional PBE.

As for the crystal system: trigonal. As for the total energy: -90.3 eV per formula unit. Its uncorrected formation energy is -7.37 eV per formula unit.

Cell: 11.8593 11.8593 8.6931 Å, 90.00 90.00 120.00°
Space group R32 (No. 155, hexagonal axes)
One atom of each set of equivalent atoms:
Rb: 0.0000 0.0000 0.0000 x3
Ag: 0.0000 0.5667 0.0000 x9
Se: 0.0000 0.0000 0.5000 x3
Se: 0.0000 0.4384 0.5000 x9
O: 0.0000 0.5888 0.5000 x9
O: 0.0000 0.8521 0.5000 x9
O: 0.0444 0.2373 0.1793 x18


No. 7
A relaxed structure of Rb2AgSe2O6. Source: Alexandria, functional PBE.

As for the crystal system: monoclinic. As for the total energy: -52.7 eV per formula unit. Its uncorrected formation energy is -11.23 eV per formula unit.

Cell: 13.2887 5.6354 7.7790 Å, 90.00 123.02 90.00°
Space group C2/m (No. 12)
One atom of each set of equivalent atoms:
Rb: 0.2140 0.0000 0.2190 x4
Ag: 0.0000 0.0000 0.5000 x2
Se: 0.0191 0.5000 0.8106 x4
O: 0.0754 0.2522 0.7579 x8
O: 0.1317 0.5000 0.3516 x4


No. 8
A relaxed structure of RbAgSe2O6. Source: Alexandria, functional PBE.

As for the crystal system: monoclinic. As for the total energy: -47.9 eV per formula unit. Its uncorrected formation energy is -7.37 eV per formula unit.

Cell: 10.6856 10.9406 6.6385 Å, 90.00 108.59 90.00°
Space group C2/c (No. 15)
One atom of each set of equivalent atoms:
Rb: 0.0000 0.2032 0.2500 x4
Ag: 0.0000 0.4109 0.7500 x4
Se: 0.2149 0.0887 0.8114 x8
O: 0.1156 0.4210 0.1052 x8
O: 0.1594 0.0161 0.1087 x8
O: 0.1718 0.2305 0.7165 x8